Run P
DyHoAl4 PBE-GGA relaxed; size of the total moment = 0.00 μB per formula unit
1.0
2.042 -9.752 0.000
2.042 9.752 0.000
0.000 0.000 6.502
Dy Ho Al
2 2 8
Direct
0.087 0.913 0.750
0.913 0.087 0.250
0.236 0.764 0.250
0.764 0.236 0.750
0.072 0.928 0.250
0.357 0.643 0.545
0.357 0.643 0.955
0.500 0.500 0.000
0.500 0.500 0.500
0.643 0.357 0.045
0.643 0.357 0.455
0.928 0.072 0.750

***

Run Q
DyHoAl4 PBE-GGA relaxed; size of the total moment = 0.00 μB per formula unit
1.0
4.302 0.000 0.000
0.000 2.167 6.701
0.000 -2.167 6.701
Dy Ho Al
1 1 4
Direct
0.000 0.000 0.000
0.000 0.310 0.310
0.000 0.655 0.655
0.500 0.155 0.155
0.500 0.491 0.491
0.500 0.818 0.818

***

Which of them is most stable, and which least? Most stable: run P; least stable: run Q.

***

Run P
Dy2HoAl PBE-GGA relaxed; size of the total moment = 0.19 μB per formula unit
1.0
5.003 0.000 0.000
0.000 5.219 4.195
0.000 -5.219 4.195
Dy Ho Al
4 2 2
Direct
0.250 0.111 0.889
0.250 0.179 0.414
0.750 0.414 0.179
0.750 0.889 0.111
0.250 0.704 0.481
0.750 0.481 0.704
0.250 0.621 0.970
0.750 0.970 0.621

***

Run Q
Dy2HoAl PBE-GGA relaxed; size of the total moment = 0.02 μB per formula unit
1.0
5.343 0.000 0.000
0.000 3.497 5.857
0.000 -3.497 5.857
Dy Ho Al
4 2 2
Direct
0.000 0.000 0.000
0.000 0.013 0.488
0.000 0.488 0.013
0.500 0.349 0.349
0.000 0.525 0.525
0.500 0.818 0.818
0.500 0.306 0.885
0.500 0.885 0.306

***

Run R
Dy2HoAl PBE-GGA relaxed; size of the total moment = 0.00 μB per formula unit
1.0
3.405 -5.914 0.000
3.405 5.914 0.000
0.000 0.000 5.285
Dy Ho Al
4 2 2
Direct
0.151 0.325 0.250
0.325 0.151 0.750
0.675 0.849 0.250
0.849 0.675 0.750
0.324 0.676 0.750
0.676 0.324 0.250
0.167 0.833 0.250
0.833 0.167 0.750

***

Which of them is most stable, and which least? Most stable: run R; least stable: run Q.

***

Run P
DyHo2Al PBE-GGA relaxed; size of the total moment = 0.00 μB per formula unit
1.0
3.402 -5.898 0.000
3.402 5.898 0.000
0.000 0.000 5.280
Dy Ho Al
2 4 2
Direct
0.175 0.825 0.750
0.825 0.175 0.250
0.175 0.349 0.750
0.349 0.175 0.250
0.651 0.825 0.750
0.825 0.651 0.250
0.334 0.666 0.250
0.666 0.334 0.750

***

Run Q
DyHo2Al PBE-GGA relaxed; size of the total moment = 0.02 μB per formula unit
1.0
5.308 0.000 0.000
0.000 3.462 5.934
0.000 -3.462 5.934
Dy Ho Al
2 4 2
Direct
0.000 0.000 0.000
0.500 0.320 0.320
0.000 0.487 0.986
0.000 0.499 0.499
0.000 0.986 0.487
0.500 0.820 0.820
0.500 0.336 0.830
0.500 0.830 0.336

***

Which of them is most stable, and which least? Most stable: run P; least stable: run Q.

***

Run P
DyAlPdPt PBE-GGA relaxed; size of the total moment = 0.00 μB per formula unit
1.0
4.354 0.000 0.000
-2.177 3.771 0.000
0.000 0.000 9.178
Dy Al Pd Pt
2 2 2 2
Direct
0.333 0.667 0.000
0.667 0.333 0.500
0.000 0.000 0.260
0.000 0.000 0.760
0.333 0.667 0.667
0.667 0.333 0.167
0.333 0.667 0.331
0.667 0.333 0.831

***

Run Q
DyAlPdPt PBE-GGA relaxed; size of the total moment = 0.00 μB per formula unit
1.0
4.355 0.000 0.000
-2.177 3.771 0.000
0.000 0.000 9.191
Dy Al Pd Pt
2 2 2 2
Direct
0.333 0.667 0.254
0.667 0.333 0.746
0.000 0.000 0.000
0.000 0.000 0.500
0.333 0.667 0.921
0.667 0.333 0.079
0.333 0.667 0.585
0.667 0.333 0.415

***

Which of them is most stable, and which least? Most stable: run P; least stable: run Q.

***

Run P
Dy3Al3SiPd2 PBE-GGA relaxed; size of the total moment = 0.02 μB per formula unit
1.0
7.535 0.000 0.000
-3.768 6.526 0.000
0.000 0.000 3.891
Dy Al Si Pd
3 3 1 2
Direct
0.000 0.274 0.000
0.274 0.000 0.000
0.726 0.726 0.000
0.000 0.601 0.500
0.399 0.399 0.500
0.601 0.000 0.500
0.000 0.000 0.500
0.333 0.667 0.000
0.667 0.333 0.000

***

Run Q
Dy3Al3SiPd2 PBE-GGA relaxed; size of the total moment = 0.00 μB per formula unit
1.0
7.387 0.000 0.000
-3.693 6.397 0.000
0.000 0.000 3.797
Dy Al Si Pd
3 3 1 2
Direct
0.000 0.599 0.000
0.401 0.401 0.000
0.599 0.000 0.000
0.000 0.253 0.500
0.253 0.000 0.500
0.747 0.747 0.500
0.000 0.000 0.000
0.333 0.667 0.500
0.667 0.333 0.500

***

Which of them is most stable, and which least? Most stable: run Q; least stable: run P.

***

Run P
RbDyAlSe3 PBE-GGA relaxed; size of the total moment = 0.45 μB per formula unit
1.0
2.153 -7.648 0.000
2.153 7.648 0.000
0.000 0.000 10.997
Rb Dy Al Se
2 2 2 6
Direct
0.241 0.759 0.750
0.759 0.241 0.250
0.500 0.500 0.000
0.500 0.500 0.500
0.030 0.970 0.250
0.970 0.030 0.750
0.123 0.877 0.070
0.123 0.877 0.430
0.444 0.556 0.250
0.556 0.444 0.750
0.877 0.123 0.570
0.877 0.123 0.930

***

Run Q
RbDyAlSe3 PBE-GGA relaxed; size of the total moment = 0.17 μB per formula unit
1.0
11.292 0.000 0.000
0.000 4.612 0.000
0.000 0.000 12.649
Rb Dy Al Se
4 4 4 12
Direct
0.170 0.250 0.005
0.330 0.750 0.505
0.670 0.250 0.495
0.830 0.750 0.995
0.030 0.250 0.331
0.470 0.750 0.831
0.530 0.250 0.169
0.970 0.750 0.669
0.232 0.250 0.722
0.268 0.750 0.222
0.732 0.250 0.778
0.768 0.750 0.278
0.057 0.750 0.181
0.098 0.250 0.564
0.206 0.750 0.798
0.294 0.250 0.298
0.402 0.750 0.064
0.443 0.250 0.681
0.557 0.750 0.319
0.598 0.250 0.936
0.706 0.750 0.702
0.794 0.250 0.202
0.902 0.750 0.436
0.943 0.250 0.819

***

Which of them is most stable, and which least? Most stable: run P; least stable: run Q.

***

Run P
DyAlW PBE-GGA relaxed; size of the total moment = 2.07 μB per formula unit
1.0
0.000 3.364 3.364
3.364 0.000 3.364
3.364 3.364 0.000
Dy Al W
1 1 1
Direct
0.000 0.000 0.000
0.750 0.750 0.750
0.250 0.250 0.250

***

Run Q
DyAlW PBE-GGA relaxed; size of the total moment = 0.64 μB per formula unit
1.0
0.000 3.224 3.224
3.224 0.000 3.224
3.224 3.224 0.000
Dy Al W
1 1 1
Direct
0.000 0.000 0.000
0.250 0.250 0.250
0.500 0.500 0.500

***

Which of them is most stable, and which least? Most stable: run Q; least stable: run P.

***

Run P
ErAl2Ga2Ni PBE-GGA relaxed; size of the total moment = 0.00 μB per formula unit
1.0
2.023 -7.570 0.000
2.023 7.570 0.000
0.000 0.000 6.670
Er Al Ga Ni
2 4 4 2
Direct
0.118 0.882 0.750
0.882 0.118 0.250
0.312 0.688 0.553
0.312 0.688 0.947
0.688 0.312 0.053
0.688 0.312 0.447
0.072 0.928 0.250
0.500 0.500 0.000
0.500 0.500 0.500
0.928 0.072 0.750
0.227 0.773 0.250
0.773 0.227 0.750

***

Run Q
ErAl2Ga2Ni PBE-GGA relaxed; size of the total moment = 0.00 μB per formula unit
1.0
2.039 -7.626 0.000
2.039 7.626 0.000
0.000 0.000 6.537
Er Al Ga Ni
2 4 4 2
Direct
0.122 0.878 0.750
0.878 0.122 0.250
0.073 0.927 0.250
0.500 0.500 0.000
0.500 0.500 0.500
0.927 0.073 0.750
0.317 0.683 0.551
0.317 0.683 0.949
0.683 0.317 0.051
0.683 0.317 0.449
0.225 0.775 0.250
0.775 0.225 0.750

***

Which of them is most stable, and which least? Most stable: run P; least stable: run Q.